(1)
# Li2CaHgF | the Alexandria database | PBE | relaxed
data_Li2CaHgF
_chemical_formula_sum 'Li2 Ca1 Hg1 F1'
_cell_length_a 4.476
_cell_length_b 4.476
_cell_length_c 4.669
_cell_angle_alpha 90.00
_cell_angle_beta 90.00
_cell_angle_gamma 90.00
_symmetry_space_group_name_H-M 'P 1'
_symmetry_Int_Tables_number 1
_symmetry_space_group_name_Hall 'P 1'
loop_
_atom_site_label
_atom_site_type_symbol
_atom_site_fract_x
_atom_site_fract_y
_atom_site_fract_z
F1 F 0.000 0.000 0.000
Hg1 Hg 0.500 0.500 0.500
Li1 Li 0.500 0.000 0.000
Li2 Li 0.000 0.500 0.000
Ca1 Ca 0.000 0.000 0.500
# - SG: P4/mmm (123)
# - DFT total energy: -2.8836 eV/atom
# - Crystal system: tetragonal

(2)
# LiCa2HgF8 | the Alexandria database | PBE | relaxed
data_LiCa2HgF8
_chemical_formula_sum 'Li1 Ca2 Hg1 F8'
_cell_length_a 4.012
_cell_length_b 5.406
_cell_length_c 7.834
_cell_angle_alpha 83.81
_cell_angle_beta 91.24
_cell_angle_gamma 96.69
_symmetry_space_group_name_H-M 'P 1'
_symmetry_Int_Tables_number 1
_symmetry_space_group_name_Hall 'P 1'
loop_
_atom_site_label
_atom_site_type_symbol
_atom_site_fract_x
_atom_site_fract_y
_atom_site_fract_z
Ca1 Ca 0.505 0.463 0.774
Ca2 Ca 0.495 0.537 0.226
F1 F 0.453 0.252 0.518
F2 F 0.591 0.753 0.965
F3 F 0.547 0.748 0.482
F4 F 0.040 0.771 0.226
F5 F 0.948 0.277 0.288
F6 F 0.409 0.247 0.035
F7 F 0.052 0.723 0.712
F8 F 0.960 0.229 0.774
Li1 Li 0.000 0.000 0.000
Hg1 Hg 0.000 0.000 0.500
# - SG: P-1 (2)
# - DFT total energy: -4.5449 eV/atom
# - Crystal system: triclinic

| no. | ΔE_f (raw) (eV/atom) | spin magnetization (μB per cell) | DOS at the Fermi energy (states/eV/atom) |
| --- | --- | --- | --- |
| 1 | -1.283 | 0.00 | 0.183 |
| 2 | -2.779 | 1.11 | 0.326 |